# 1
A relaxed Er6GeO12 crystal, computed with PBE.

Calculated values
Formation energy without anion corrections, eV per atom: -3.068
E_tot, eV/cell: -449.33

Unit cell a=9.6848 b=9.6848 c=9.1888 alpha=90.00 beta=90.00 gamma=120.00
Space group R-3 (No. 148, hexagonal axes)
Asymmetric unit:
Er  0.0537  0.7905  0.1538 x18
Ge  0.0000  0.0000  0.5000 x3
O  0.0392  0.8150  0.9020 x18
O  0.0423  0.8510  0.3920 x18



# 2
A relaxed ErGeO3 crystal, computed with PBE.

Calculated values
Formation energy without anion corrections, eV per atom: -2.460
E_tot, eV/cell: -145.42

Unit cell a=6.3484 b=4.2050 c=10.4852 alpha=90.00 beta=109.95 gamma=90.00
Space group P2_1/c (No. 14)
Asymmetric unit:
Er  0.1862  0.2245  0.1508 x4
Ge  0.3416  0.6668  0.4328 x4
O  0.1192  0.0608  0.8184 x4
O  0.1641  0.7167  0.0295 x4
O  0.4410  0.5800  0.8305 x4



# 3
A relaxed Er2GeO crystal, computed with PBE.

Calculated values
Formation energy without anion corrections, eV per atom: -1.582
E_tot, eV/cell: -75.09
Energy above the most stable polymorph in this dataset, meV per atom: 376

Unit cell a=4.4355 b=4.4355 c=20.5717 alpha=90.00 beta=90.00 gamma=120.00
Space group R-3m (No. 166, hexagonal axes)
Asymmetric unit:
Er  0.0000  0.0000  0.0978 x6
Ge  0.0000  0.0000  0.5000 x3
O  0.0000  0.0000  0.0000 x3



# 4
A relaxed Er2Ge2O7 crystal, computed with PBE.

Calculated values
Formation energy without anion corrections, eV per atom: -2.626
E_tot, eV/cell: -655.65

Unit cell a=9.9689 b=9.9689 c=9.9689 alpha=90.00 beta=90.00 gamma=90.00
Space group Fd-3m (No. 227, origin choice 2)
Asymmetric unit:
Er  0.0000  0.0000  0.0000 x16
Ge  0.0000  0.0000  0.5000 x16
O  0.0790  0.3750  0.8750 x48
O  0.1250  0.1250  0.1250 x8